Entry 1:
{"formula": "AgGeRh3", "functional": "PBE", "state": "optimized geometry", "mass_density_g_cm3": 8.60, "formation_energy_ev_per_atom": 0.588, "e_above_lowest_polymorph_ev_per_atom": 0.0000, "vol_a3_per_atom": 18.9, "crystal_system": "cubic", "sg": "Pm-3m, No. 221", "cell": [[4.553, 0.000, 0.000], [0.000, 4.553, 0.000], [0.000, 0.000, 4.553]], "species": ["Ag", "Ge", "Rh", "Rh", "Rh"], "frac_coords": [[0.000, 0.000, 0.000], [0.500, 0.500, 0.500], [0.000, 0.500, 0.500], [0.500, 0.000, 0.500], [0.500, 0.500, 0.000]]}

***

Entry 2:
{"formula": "Ag2GeRh", "functional": "PBE", "state": "optimized geometry", "mass_density_g_cm3": 6.39, "formation_energy_ev_per_atom": 1.087, "vol_a3_per_atom": 25.4, "crystal_system": "tetragonal", "sg": "I-42d, No. 122", "cell": [[-2.955, 2.955, 5.820], [2.955, -2.955, 5.820], [2.955, 2.955, -5.820]], "species": ["Ag", "Ag", "Ag", "Ag", "Ge", "Ge", "Rh", "Rh"], "frac_coords": [[0.116, 0.625, 0.991], [0.375, 0.366, 0.491], [0.634, 0.125, 0.009], [0.875, 0.884, 0.509], [0.000, 0.000, 0.000], [0.750, 0.250, 0.500], [0.250, 0.750, 0.500], [0.500, 0.500, 0.000]]}

***

Entry 3:
{"formula": "Ag2Ge2Rh", "functional": "PBE", "state": "optimized geometry", "mass_density_g_cm3": 8.37, "formation_energy_ev_per_atom": 0.496, "e_above_lowest_polymorph_ev_per_atom": 0.4881, "vol_a3_per_atom": 18.4, "crystal_system": "tetragonal", "sg": "I4/mmm, No. 139", "cell": [[-1.831, 1.831, 6.870], [1.831, -1.831, 6.870], [1.831, 1.831, -6.870]], "species": ["Ag", "Ag", "Ge", "Ge", "Rh"], "frac_coords": [[0.097, 0.097, 0.000], [0.903, 0.903, 0.000], [0.250, 0.750, 0.500], [0.750, 0.250, 0.500], [0.500, 0.500, 0.000]]}

***

Entry 4:
{"formula": "Ag2GeRh", "functional": "PBE", "state": "optimized geometry", "mass_density_g_cm3": 9.37, "formation_energy_ev_per_atom": -0.095, "vol_a3_per_atom": 17.3, "crystal_system": "tetragonal", "sg": "P4/nmm, No. 129", "cell": [[4.054, 0.000, 0.000], [0.000, 4.054, 0.000], [0.000, 0.000, 8.439]], "species": ["Ag", "Ag", "Ag", "Ag", "Ge", "Ge", "Rh", "Rh"], "frac_coords": [[0.250, 0.250, 0.248], [0.250, 0.750, 0.000], [0.750, 0.250, 0.000], [0.750, 0.750, 0.752], [0.250, 0.250, 0.675], [0.750, 0.750, 0.325], [0.250, 0.750, 0.500], [0.750, 0.250, 0.500]]}

***

Entry 5:
{"formula": "Ag2GeRh", "functional": "PBE", "state": "optimized geometry", "mass_density_g_cm3": 9.81, "formation_energy_ev_per_atom": -0.075, "vol_a3_per_atom": 16.6, "crystal_system": "monoclinic", "sg": "C2/m, No. 12", "cell": [[2.887, -3.769, 0.000], [2.887, 3.769, 0.000], [-1.161, 0.000, 6.089]], "species": ["Ag", "Ag", "Ag", "Ag", "Ge", "Ge", "Rh", "Rh"], "frac_coords": [[0.185, 0.815, 0.000], [0.336, 0.336, 0.794], [0.664, 0.664, 0.206], [0.815, 0.185, 0.000], [0.248, 0.248, 0.350], [0.752, 0.752, 0.650], [0.229, 0.771, 0.500], [0.771, 0.229, 0.500]]}

***

Entry 6:
{"formula": "AgGeRh3", "functional": "PBE", "state": "optimized geometry", "mass_density_g_cm3": 7.41, "formation_energy_ev_per_atom": 1.674, "e_above_lowest_polymorph_ev_per_atom": 1.0855, "vol_a3_per_atom": 21.9, "crystal_system": "cubic", "sg": "Pm-3m, No. 221", "cell": [[4.787, 0.000, 0.000], [0.000, 4.787, 0.000], [0.000, 0.000, 4.787]], "species": ["Ag", "Ge", "Rh", "Rh", "Rh"], "frac_coords": [[0.000, 0.000, 0.000], [0.500, 0.500, 0.500], [0.000, 0.000, 0.500], [0.000, 0.500, 0.000], [0.500, 0.000, 0.000]]}

***

Entry 7:
{"formula": "Ag2GeRh", "functional": "PBE", "state": "optimized geometry", "mass_density_g_cm3": 9.54, "formation_energy_ev_per_atom": -0.136, "vol_a3_per_atom": 17.0, "crystal_system": "tetragonal", "sg": "I4/mmm, No. 139", "cell": [[-2.038, 2.038, 8.198], [2.038, -2.038, 8.198], [2.038, 2.038, -8.198]], "species": ["Ag", "Ag", "Ag", "Ag", "Ge", "Ge", "Rh", "Rh"], "frac_coords": [[0.000, 0.500, 0.500], [0.121, 0.121, 0.000], [0.500, 0.000, 0.500], [0.879, 0.879, 0.000], [0.339, 0.339, 0.000], [0.661, 0.661, 0.000], [0.250, 0.750, 0.500], [0.750, 0.250, 0.500]]}

***

Entry 8:
{"formula": "AgGe3Rh", "functional": "PBE", "state": "optimized geometry", "mass_density_g_cm3": 6.44, "formation_energy_ev_per_atom": 0.314, "e_above_lowest_polymorph_ev_per_atom": 0.0000, "vol_a3_per_atom": 22.1, "crystal_system": "cubic", "sg": "Pm-3m, No. 221", "cell": [[4.800, 0.000, 0.000], [0.000, 4.800, 0.000], [0.000, 0.000, 4.800]], "species": ["Ag", "Ge", "Ge", "Ge", "Rh"], "frac_coords": [[0.000, 0.000, 0.000], [0.000, 0.500, 0.500], [0.500, 0.000, 0.500], [0.500, 0.500, 0.000], [0.500, 0.500, 0.500]]}

***

Entry 9:
{"formula": "Ag2Ge2Rh", "functional": "PBE", "state": "optimized geometry", "mass_density_g_cm3": 8.86, "formation_energy_ev_per_atom": 0.007, "e_above_lowest_polymorph_ev_per_atom": 0.0000, "vol_a3_per_atom": 17.4, "crystal_system": "tetragonal", "sg": "P4/mbm, No. 127", "cell": [[6.424, 0.000, 0.000], [0.000, 6.424, 0.000], [0.000, 0.000, 4.214]], "species": ["Ag", "Ag", "Ag", "Ag", "Ge", "Ge", "Ge", "Ge", "Rh", "Rh"], "frac_coords": [[0.175, 0.325, 0.000], [0.325, 0.825, 0.000], [0.675, 0.175, 0.000], [0.825, 0.675, 0.000], [0.139, 0.639, 0.500], [0.361, 0.139, 0.500], [0.639, 0.861, 0.500], [0.861, 0.361, 0.500], [0.000, 0.000, 0.500], [0.500, 0.500, 0.500]]}

***

Entry 10:
{"formula": "Ag2GeRh", "functional": "PBE", "state": "optimized geometry", "mass_density_g_cm3": 9.17, "formation_energy_ev_per_atom": -0.120, "vol_a3_per_atom": 17.7, "crystal_system": "monoclinic", "sg": "P2_1/m, No. 11", "cell": [[3.998, 0.000, 0.000], [0.000, 4.031, 0.000], [-1.851, 0.000, 8.795]], "species": ["Ag", "Ag", "Ag", "Ag", "Ge", "Ge", "Rh", "Rh"], "frac_coords": [[0.138, 0.250, 0.251], [0.240, 0.250, 0.950], [0.760, 0.750, 0.050], [0.862, 0.750, 0.749], [0.330, 0.250, 0.667], [0.670, 0.750, 0.333], [0.249, 0.750, 0.500], [0.751, 0.250, 0.500]]}

***

Entry 11:
{"formula": "Ag3GeRh", "functional": "PBE", "state": "optimized geometry", "mass_density_g_cm3": 6.61, "formation_energy_ev_per_atom": 1.091, "e_above_lowest_polymorph_ev_per_atom": 0.2204, "vol_a3_per_atom": 25.1, "crystal_system": "cubic", "sg": "Pm-3m, No. 221", "cell": [[5.004, 0.000, 0.000], [0.000, 5.004, 0.000], [0.000, 0.000, 5.004]], "species": ["Ag", "Ag", "Ag", "Ge", "Rh"], "frac_coords": [[0.000, 0.000, 0.500], [0.000, 0.500, 0.000], [0.500, 0.000, 0.000], [0.500, 0.500, 0.500], [0.000, 0.000, 0.000]]}

***

Entry 12:
{"formula": "Ag2Ge2Rh", "functional": "PBE", "state": "optimized geometry", "mass_density_g_cm3": 8.77, "formation_energy_ev_per_atom": 0.359, "e_above_lowest_polymorph_ev_per_atom": 0.3514, "vol_a3_per_atom": 17.6, "crystal_system": "tetragonal", "sg": "P4/mbm, No. 127", "cell": [[7.327, 0.000, 0.000], [0.000, 7.327, 0.000], [0.000, 0.000, 3.272]], "species": ["Ag", "Ag", "Ag", "Ag", "Ge", "Ge", "Ge", "Ge", "Rh", "Rh"], "frac_coords": [[0.132, 0.368, 0.000], [0.368, 0.868, 0.000], [0.632, 0.132, 0.000], [0.868, 0.632, 0.000], [0.175, 0.675, 0.500], [0.325, 0.175, 0.500], [0.675, 0.825, 0.500], [0.825, 0.325, 0.500], [0.000, 0.000, 0.000], [0.500, 0.500, 0.000]]}

***

Entry 13:
{"formula": "Ag2GeRh", "functional": "PBE", "state": "optimized geometry", "mass_density_g_cm3": 9.62, "formation_energy_ev_per_atom": -0.122, "vol_a3_per_atom": 16.9, "crystal_system": "monoclinic", "sg": "P2_1/m, No. 11", "cell": [[3.009, 0.000, 0.000], [0.000, 4.447, 0.000], [-0.036, 0.000, 10.099]], "species": ["Ag", "Ag", "Ag", "Ag", "Ge", "Ge", "Rh", "Rh"], "frac_coords": [[0.246, 0.250, 0.206], [0.253, 0.250, 0.926], [0.747, 0.750, 0.074], [0.754, 0.750, 0.794], [0.251, 0.250, 0.656], [0.749, 0.750, 0.344], [0.251, 0.750, 0.545], [0.749, 0.250, 0.455]]}

***

Entry 14:
{"formula": "Sm2AgGe2Rh5", "functional": "PBE", "state": "optimized geometry", "mass_density_g_cm3": 10.04, "formation_energy_ev_per_atom": -0.631, "vol_a3_per_atom": 17.7, "crystal_system": "tetragonal", "sg": "P4/mbm, No. 127", "cell": [[9.882, 0.000, 0.000], [0.000, 9.882, 0.000], [0.000, 0.000, 3.620]], "species": ["Sm", "Sm", "Sm", "Sm", "Ag", "Ag", "Ge", "Ge", "Ge", "Ge", "Rh", "Rh", "Rh", "Rh", "Rh", "Rh", "Rh", "Rh", "Rh", "Rh"], "frac_coords": [[0.175, 0.325, 0.000], [0.325, 0.825, 0.000], [0.675, 0.175, 0.000], [0.825, 0.675, 0.000], [0.000, 0.000, 0.000], [0.500, 0.500, 0.000], [0.124, 0.624, 0.000], [0.376, 0.124, 0.000], [0.624, 0.876, 0.000], [0.876, 0.376, 0.000], [0.000, 0.500, 0.500], [0.067, 0.789, 0.500], [0.211, 0.067, 0.500], [0.289, 0.567, 0.500], [0.433, 0.289, 0.500], [0.500, 0.000, 0.500], [0.567, 0.711, 0.500], [0.711, 0.433, 0.500], [0.789, 0.933, 0.500], [0.933, 0.211, 0.500]]}

***

Entry 15:
{"formula": "SrAgGeRh", "functional": "PBE", "state": "optimized geometry", "mass_density_g_cm3": 6.61, "formation_energy_ev_per_atom": -0.510, "vol_a3_per_atom": 23.3, "crystal_system": "tetragonal", "sg": "P4/nmm, No. 129", "cell": [[4.134, 0.000, 0.000], [0.000, 4.134, 0.000], [0.000, 0.000, 10.914]], "species": ["Sr", "Sr", "Ag", "Ag", "Ge", "Ge", "Rh", "Rh"], "frac_coords": [[0.250, 0.250, 0.246], [0.750, 0.750, 0.754], [0.250, 0.750, 0.000], [0.750, 0.250, 0.000], [0.250, 0.250, 0.623], [0.750, 0.750, 0.377], [0.250, 0.750, 0.500], [0.750, 0.250, 0.500]]}

***

Entry 16:
{"formula": "Sr2AgGeRh", "functional": "PBE", "state": "optimized geometry", "mass_density_g_cm3": 4.84, "formation_energy_ev_per_atom": -0.285, "vol_a3_per_atom": 31.5, "crystal_system": "tetragonal", "sg": "P4/mmm, No. 123", "cell": [[5.807, 0.000, 0.000], [0.000, 5.807, 0.000], [0.000, 0.000, 4.669]], "species": ["Sr", "Sr", "Ag", "Ge", "Rh"], "frac_coords": [[0.000, 0.500, 0.000], [0.500, 0.000, 0.000], [0.000, 0.000, 0.500], [0.500, 0.500, 0.500], [0.500, 0.500, 0.000]]}

***

Entry 17:
{"formula": "Tb2AgGe2Rh5", "functional": "PBE", "state": "optimized geometry", "mass_density_g_cm3": 10.41, "formation_energy_ev_per_atom": -0.671, "vol_a3_per_atom": 17.3, "crystal_system": "tetragonal", "sg": "P4/mbm, No. 127", "cell": [[9.805, 0.000, 0.000], [0.000, 9.805, 0.000], [0.000, 0.000, 3.602]], "species": ["Tb", "Tb", "Tb", "Tb", "Ag", "Ag", "Ge", "Ge", "Ge", "Ge", "Rh", "Rh", "Rh", "Rh", "Rh", "Rh", "Rh", "Rh", "Rh", "Rh"], "frac_coords": [[0.174, 0.326, 0.000], [0.326, 0.826, 0.000], [0.674, 0.174, 0.000], [0.826, 0.674, 0.000], [0.000, 0.000, 0.000], [0.500, 0.500, 0.000], [0.125, 0.625, 0.000], [0.375, 0.125, 0.000], [0.625, 0.875, 0.000], [0.875, 0.375, 0.000], [0.000, 0.500, 0.500], [0.068, 0.790, 0.500], [0.210, 0.068, 0.500], [0.290, 0.568, 0.500], [0.432, 0.290, 0.500], [0.500, 0.000, 0.500], [0.568, 0.710, 0.500], [0.710, 0.432, 0.500], [0.790, 0.932, 0.500], [0.932, 0.210, 0.500]]}

***

Entry 18:
{"formula": "Th2AgGe3Rh4", "functional": "PBE", "state": "optimized geometry", "mass_density_g_cm3": 10.52, "formation_energy_ev_per_atom": -0.757, "vol_a3_per_atom": 19.0, "crystal_system": "tetragonal", "sg": "P-4m2, No. 115", "cell": [[4.086, 0.000, 0.000], [0.000, 4.086, 0.000], [0.000, 0.000, 11.355]], "species": ["Th", "Th", "Ag", "Ge", "Ge", "Ge", "Rh", "Rh", "Rh", "Rh"], "frac_coords": [[0.000, 0.500, 0.248], [0.500, 0.000, 0.752], [0.500, 0.500, 0.000], [0.000, 0.000, 0.000], [0.000, 0.500, 0.621], [0.500, 0.000, 0.379], [0.000, 0.000, 0.500], [0.000, 0.500, 0.835], [0.500, 0.000, 0.165], [0.500, 0.500, 0.500]]}

***

Entry 19:
{"formula": "TiAgGeRh2", "functional": "PBE", "state": "optimized geometry", "mass_density_g_cm3": 6.80, "formation_energy_ev_per_atom": 1.259, "vol_a3_per_atom": 21.2, "crystal_system": "tetragonal", "sg": "P4/mmm, No. 123", "cell": [[4.862, 0.000, 0.000], [0.000, 4.862, 0.000], [0.000, 0.000, 4.488]], "species": ["Ti", "Ag", "Ge", "Rh", "Rh"], "frac_coords": [[0.000, 0.000, 0.000], [0.500, 0.500, 0.500], [0.500, 0.500, 0.000], [0.000, 0.500, 0.500], [0.500, 0.000, 0.500]]}

***

Entry 20:
{"formula": "TiAgGe2Rh", "functional": "PBE", "state": "optimized geometry", "mass_density_g_cm3": 6.07, "formation_energy_ev_per_atom": 0.978, "vol_a3_per_atom": 22.1, "crystal_system": "tetragonal", "sg": "P4/mmm, No. 123", "cell": [[4.736, 0.000, 0.000], [0.000, 4.736, 0.000], [0.000, 0.000, 4.924]], "species": ["Ti", "Ag", "Ge", "Ge", "Rh"], "frac_coords": [[0.000, 0.000, 0.000], [0.000, 0.000, 0.500], [0.000, 0.500, 0.000], [0.500, 0.000, 0.000], [0.500, 0.500, 0.500]]}

***

Entry 21:
{"formula": "Ag3GeRu", "functional": "PBE", "state": "optimized geometry", "mass_density_g_cm3": 7.63, "formation_energy_ev_per_atom": 1.115, "e_above_lowest_polymorph_ev_per_atom": 0.0000, "vol_a3_per_atom": 21.7, "crystal_system": "cubic", "sg": "Pm-3m, No. 221", "cell": [[4.766, 0.000, 0.000], [0.000, 4.766, 0.000], [0.000, 0.000, 4.766]], "species": ["Ag", "Ag", "Ag", "Ge", "Ru"], "frac_coords": [[0.000, 0.000, 0.500], [0.000, 0.500, 0.000], [0.500, 0.000, 0.000], [0.000, 0.000, 0.000], [0.500, 0.500, 0.500]]}

***

Entry 22:
{"formula": "AgGe2Ru", "functional": "PBE", "state": "optimized geometry", "mass_density_g_cm3": 9.10, "formation_energy_ev_per_atom": 0.258, "e_above_lowest_polymorph_ev_per_atom": 0.0000, "vol_a3_per_atom": 16.2, "crystal_system": "cubic", "sg": "Fm-3m, No. 225", "cell": [[0.000, 3.185, 3.185], [3.185, 0.000, 3.185], [3.185, 3.185, 0.000]], "species": ["Ag", "Ge", "Ge", "Ru"], "frac_coords": [[0.000, 0.000, 0.000], [0.250, 0.250, 0.250], [0.750, 0.750, 0.750], [0.500, 0.500, 0.500]]}

***

Entry 23:
{"formula": "AgGe2Ru2", "functional": "PBE", "state": "optimized geometry", "mass_density_g_cm3": 9.08, "formation_energy_ev_per_atom": 0.175, "vol_a3_per_atom": 16.6, "crystal_system": "tetragonal", "sg": "I4/mmm, No. 139", "cell": [[-1.887, 1.887, 5.842], [1.887, -1.887, 5.842], [1.887, 1.887, -5.842]], "species": ["Ag", "Ge", "Ge", "Ru", "Ru"], "frac_coords": [[0.000, 0.000, 0.000], [0.250, 0.750, 0.500], [0.750, 0.250, 0.500], [0.390, 0.390, 0.000], [0.610, 0.610, 0.000]]}

***

Entry 24:
{"formula": "AgGeRu", "functional": "PBE", "state": "optimized geometry", "mass_density_g_cm3": 9.26, "formation_energy_ev_per_atom": 0.039, "e_above_lowest_polymorph_ev_per_atom": 0.0000, "vol_a3_per_atom": 16.8, "crystal_system": "orthorhombic", "sg": "Cmcm, No. 63", "cell": [[1.481, -8.333, 0.000], [1.481, 8.333, 0.000], [0.000, 0.000, 4.093]], "species": ["Ag", "Ag", "Ge", "Ge", "Ru", "Ru"], "frac_coords": [[0.209, 0.791, 0.750], [0.791, 0.209, 0.250], [0.073, 0.927, 0.250], [0.927, 0.073, 0.750], [0.437, 0.563, 0.250], [0.563, 0.437, 0.750]]}